# TcOs2Pt, optimized geometry, DFT PBE
data_TcOs2Pt
_chemical_formula_sum 'Tc4 Os8 Pt4'
_cell_length_a 6.225
_cell_length_b 6.225
_cell_length_c 6.225
_cell_angle_alpha 90.00
_cell_angle_beta 90.00
_cell_angle_gamma 90.00
_space_group_name_H-M_alt 'F -4 3 m'
_space_group_IT_number 216
_space_group_name_Hall 'F -4 2 3'
loop_
_atom_site_label
_atom_site_type_symbol
_atom_site_fract_x
_atom_site_fract_y
_atom_site_fract_z
_atom_site_occupancy
Tc1 Tc 0.000 0.000 0.000 1
Os1 Os 0.000 0.000 0.500 1
Os2 Os 0.250 0.250 0.250 1
Pt1 Pt 0.250 0.250 0.750 1
# - DFT total energy: -9.13 eV/atom
# - ΔE to the lowest computed polymorph: 560 meV per atom
# - Energy relative to the elements: 13.6 kcal/mol of atoms